VOs3Ru | PBE-GGA | optimized geometry

Geometry as CIF:
```
data_VOs3Ru
_cell_length_a 4.7049
_cell_length_b 4.3550
_cell_length_c 7.2514
_cell_angle_alpha 90.00
_cell_angle_beta 108.55
_cell_angle_gamma 90.00
_space_group_name_H-M_alt 'P 1 21/m 1'
_space_group_IT_number 11
loop_
_space_group_symop_operation_xyz
'x,y,z'
'-x,-y,-z'
'-x,y+1/2,-z'
'x,-y+1/2,z'
loop_
_atom_site_label
_atom_site_type_symbol
_atom_site_fract_x
_atom_site_fract_y
_atom_site_fract_z
V1 V 0.0127 0.2500 0.3906
Os1 Os 0.1670 0.7500 0.0040
Os2 Os 0.2262 0.2500 0.7964
Os3 Os 0.3706 0.7500 0.4045
Ru1 Ru 0.4302 0.2500 0.2005
```

M_tot in μB/f.u.: 0.00
Energy of formation from the pure elements in eV/atom: -0.06
Density of states at the Fermi level in states/eV/f.u.: 4.66